(i)
Below is crystalline TiCrTeI2 at its relaxed geometry, with properties calculated at the PBE level.

Geometry as CIF:
```
data_TiCrTeI2
_chemical_formula_sum 'Ti1 Cr1 Te1 I2'
_space_group_name_H-M_alt 'P 1'
_space_group_IT_number 1
_space_group_name_Hall 'P 1'
_cell_length_a 5.381
_cell_length_b 5.381
_cell_length_c 5.576
_cell_angle_alpha 90.00
_cell_angle_beta 90.00
_cell_angle_gamma 90.00
loop_
_atom_site_label
_atom_site_type_symbol
_atom_site_fract_x
_atom_site_fract_y
_atom_site_fract_z
Ti1 Ti 0.000 0.000 0.000
Cr1 Cr 0.500 0.500 0.500
Te1 Te 0.500 0.500 0.000
I1 I 0.000 0.500 0.500
I2 I 0.500 0.000 0.500
```

Results
Fermi-level density of states   3.90 states/eV/cell
Calculated volume   32.296 Å³/atom


(ii)
Below is crystalline TiCrTeI2 at its relaxed geometry, with properties calculated at the PBE level.

Geometry as CIF:
```
data_TiCrTeI2
_chemical_formula_sum 'Ti1 Cr1 Te1 I2'
_space_group_name_H-M_alt 'P 1'
_space_group_IT_number 1
_space_group_name_Hall 'P 1'
_cell_length_a 5.602
_cell_length_b 5.602
_cell_length_c 5.367
_cell_angle_alpha 90.00
_cell_angle_beta 90.00
_cell_angle_gamma 90.00
loop_
_atom_site_label
_atom_site_type_symbol
_atom_site_fract_x
_atom_site_fract_y
_atom_site_fract_z
Ti1 Ti 0.000 0.000 0.000
Cr1 Cr 0.500 0.500 0.500
Te1 Te 0.000 0.000 0.500
I1 I 0.000 0.500 0.000
I2 I 0.500 0.000 0.000
```

Results
Fermi-level density of states   3.70 states/eV/cell
Calculated volume   33.688 Å³/atom


Stability check: which of them is least stable? (i).